{"formula": "SrMo3F", "functional": "PBE+U", "state": "optimized geometry", "cell": [[6.453, 0.000, 0.000], [0.000, 6.453, 0.000], [0.000, 0.000, 6.453]], "species": ["Sr", "Mo", "Mo", "Mo", "F"], "fractional_positions": [[0.000, 0.000, 0.000], [0.000, 0.000, 0.500], [0.000, 0.500, 0.000], [0.500, 0.000, 0.000], [0.500, 0.500, 0.500]], "magnetic_moment_mub_per_fu": 15.00, "polymorph_energy_mev_per_atom": 1264.2}